Here is an optimized crystal structure of Be2WI from the Alexandria database. Energies are from PBE-GGA.

The structure in extended XYZ format:
```
8
Lattice="6.770 0.000 0.000 0.000 6.770 0.000 3.385 3.385 2.802" Properties=species:S:1:pos:R:3 pbc="T T T"
I 3.385 3.385 0.000
I 3.385 6.770 1.401
Be 5.146 1.692 0.701
Be 1.624 5.077 0.701
Be 5.077 5.009 2.102
Be 8.462 8.531 2.102
W 0.000 0.000 0.000
W 6.770 3.385 1.401
```

Values from the calculation:
Spin magnetization, μB per formula unit: 0.00


Here is an optimized crystal structure of BeWI3 from the Alexandria database. Energies are from PBE-GGA.

The structure in extended XYZ format:
```
5
Lattice="5.632 0.000 0.000 0.000 5.632 0.000 0.000 0.000 5.632" Properties=species:S:1:pos:R:3 pbc="T T T"
I 0.000 2.816 0.000
I 0.000 0.000 2.816
I 2.816 0.000 0.000
Be 2.816 2.816 2.816
W 0.000 0.000 0.000
```

Values from the calculation:
Spin magnetization, μB per formula unit: 3.00


Here is an optimized crystal structure of Be2WI from the Alexandria database. Energies are from PBE-GGA.

The structure in extended XYZ format:
```
4
Lattice="0.000 3.112 3.112 3.112 0.000 3.112 3.112 3.112 0.000" Properties=species:S:1:pos:R:3 pbc="T T T"
I 0.000 0.000 0.000
Be 1.556 1.556 1.556
Be 4.668 4.668 4.668
W 3.112 3.112 3.112
```

Values from the calculation:
Spin magnetization, μB per formula unit: 0.95


Here is an optimized crystal structure of BeWI2 from the Alexandria database. Energies are from PBE-GGA.

The structure in extended XYZ format:
```
4
Lattice="-1.193 0.756 4.585 -3.860 -2.158 1.862 0.536 -3.509 3.228" Properties=species:S:1:pos:R:3 pbc="T T T"
I -1.129 -1.228 2.419
I -3.387 -3.683 7.256
Be 0.000 0.000 0.000
W -2.258 -2.456 4.837
```

Values from the calculation:
Spin magnetization, μB per formula unit: 0.00


Here is an optimized crystal structure of BeW3I from the Alexandria database. Energies are from PBE-GGA.

The structure in extended XYZ format:
```
5
Lattice="-2.726 2.259 3.298 -1.191 -4.270 1.940 3.816 0.282 2.961" Properties=species:S:1:pos:R:3 pbc="T T T"
I 0.000 0.000 0.000
Be -0.050 -0.865 4.100
W -0.595 -2.135 0.970
W 1.908 0.141 1.481
W -1.363 1.130 1.649
```

Values from the calculation:
Spin magnetization, μB per formula unit: 0.00


Here is an optimized crystal structure of BeWI3 from the Alexandria database. Energies are from PBE-GGA.

The structure in extended XYZ format:
```
5
Lattice="5.234 0.000 0.000 0.000 5.234 0.000 0.000 0.000 5.234" Properties=species:S:1:pos:R:3 pbc="T T T"
I 0.000 2.617 0.000
I 0.000 0.000 2.617
I 2.617 0.000 0.000
Be 0.000 0.000 0.000
W 2.617 2.617 2.617
```

Values from the calculation:
Spin magnetization, μB per formula unit: 4.70


Here is an optimized crystal structure of Y2BeI from the Alexandria database. Energies are from PBE-GGA.

The structure in extended XYZ format:
```
4
Lattice="0.578 -3.934 -3.360 -3.293 -4.030 0.119 -3.442 -0.663 -3.849" Properties=species:S:1:pos:R:3 pbc="T T T"
I -3.078 -4.313 -3.545
Y -1.539 -2.156 -1.772
Y -4.617 -6.469 -5.317
Be 0.000 0.000 0.000
```

Values from the calculation:
Spin magnetization, μB per formula unit: 0.00


Here is an optimized crystal structure of Y2BeI from the Alexandria database. Energies are from PBE-GGA.

The structure in extended XYZ format:
```
8
Lattice="7.807 0.000 0.000 0.000 7.807 0.000 3.903 3.903 3.487" Properties=species:S:1:pos:R:3 pbc="T T T"
I 0.000 0.000 0.000
I 7.807 3.903 1.743
Y 5.592 1.952 0.872
Y 2.215 5.855 0.872
Y 5.855 6.118 2.615
Y 9.758 9.495 2.615
Be 3.903 3.903 0.000
Be 3.903 7.807 1.743
```

Values from the calculation:
Spin magnetization, μB per formula unit: 0.00


Here is an optimized crystal structure of YBeI3 from the Alexandria database. Energies are from PBE-GGA.

The structure in extended XYZ format:
```
5
Lattice="5.249 0.000 0.000 0.000 5.249 0.000 0.000 0.000 5.249" Properties=species:S:1:pos:R:3 pbc="T T T"
I 0.000 2.625 0.000
I 0.000 0.000 2.625
I 2.625 0.000 0.000
Y 2.625 2.625 2.625
Be 0.000 0.000 0.000
```

Values from the calculation:
Spin magnetization, μB per formula unit: 0.67


Here is an optimized crystal structure of Y3BeI3 from the Alexandria database. Energies are from PBE-GGA.

The structure in extended XYZ format:
```
28
Lattice="9.825 0.000 -3.474 -4.913 8.509 -3.474 0.000 0.000 10.421" Properties=species:S:1:pos:R:3 pbc="T T T"
Y 7.053 4.072 -2.605
Y 4.913 0.365 0.868
Y 2.351 0.182 4.044
Y 5.930 6.382 -5.781
Y 8.492 1.945 0.571
Y 7.474 0.182 -2.308
Y 4.913 3.890 0.868
Y 3.895 6.382 -2.903
Y 4.000 2.309 -2.605
Y 1.333 1.945 1.166
Y 5.825 2.309 4.342
Y 2.772 4.072 4.342
Be 4.913 4.254 -4.342
Be 3.684 2.127 2.605
Be 6.141 2.127 -0.868
Be 0.000 0.000 2.605
I -2.499 8.435 5.959
I 3.642 6.455 2.485
I 1.101 6.308 6.079
I -1.143 2.127 9.433
I -1.101 6.308 -0.868
I 2.329 4.328 -0.868
I 1.143 2.127 6.199
I 0.000 4.401 2.605
I 2.499 8.435 -0.749
I -2.329 4.328 6.079
I -3.642 6.455 2.725
I 0.000 8.362 2.605
```

Values from the calculation:
Spin magnetization, μB per formula unit: 0.00


Here is an optimized crystal structure of YBe3I from the Alexandria database. Energies are from PBE-GGA.

The structure in extended XYZ format:
```
5
Lattice="-0.116 4.664 0.951 -0.447 -0.958 4.643 4.739 0.024 0.461" Properties=species:S:1:pos:R:3 pbc="T T T"
I 0.000 0.000 0.000
Y 2.088 1.865 3.027
Be -0.223 -0.479 2.322
Be 2.370 0.012 0.230
Be -0.058 2.332 0.476
```

Values from the calculation:
Spin magnetization, μB per formula unit: 0.00


Here is an optimized crystal structure of YBeI from the Alexandria database. Energies are from PBE-GGA.

The structure in extended XYZ format:
```
6
Lattice="4.019 0.000 0.000 2.010 3.432 0.553 2.010 2.176 12.660" Properties=species:S:1:pos:R:3 pbc="T T T"
Y 6.029 3.092 4.820
Y 2.010 2.517 8.394
Be 4.019 1.665 6.391
Be 4.019 3.943 6.822
I 2.010 1.142 2.357
I 6.029 4.467 10.857
```

Values from the calculation:
Spin magnetization, μB per formula unit: 0.01


Going through the records in order, we get calculated volume values of 16.05; 35.72; 15.07; 19.53; 22.66; 28.67; 24.93; 26.56; 28.93; 31.11; 21.59; 28.30 Å³/atom.
Going through the records in order, we get raw formation energy values of 1327.7; 1077.9; 1539.0; 1347.1; 3090.8; 1240.9; 8.8; 54.3; -95.5; -804.1; 1298.1; -668.2 meV per atom.